1.
Density functional theory data (GGA-PBE) for a relaxed structure of SrPIr.

a = 4.5395 Å, b = 4.5395 Å, c = 4.5395 Å
α = 60.00°, β = 60.00°, γ = 60.00°
With the nearest neighbours (Å) after each atom.
Sites, in units of the cell vectors:
Sr  0.0000  0.0000  0.0000  4 P 2.78
P  0.2500  0.2500  0.2500  4 Ir 2.78, 4 Sr 2.78
Ir  0.5000  0.5000  0.5000  4 P 2.78

---

2.
Density functional theory data (GGA-PBE) for a relaxed structure of LiZr2Pt4.

a = 6.8942 Å, b = 6.2625 Å, c = 4.9292 Å
α = 74.99°, β = 61.33°, γ = 43.68°
With the nearest neighbours (Å) after each atom.
Sites, in units of the cell vectors:
Li  0.0000  0.0000  0.0000  4 Pt 2.46
Zr  0.3589  0.3589  0.6411  8 Pt 2.75-2.93
Zr  0.6411  0.6411  0.3589  8 Pt 2.75-2.93
Pt  0.0000  0.0000  0.5000  2 Li 2.46
Pt  0.2500  0.2500  0.2500  4 Zr 2.75, 4 Pt 2.79-2.83
Pt  0.5000  0.5000  0.0000  2 Li 2.46
Pt  0.7500  0.7500  0.7500  4 Zr 2.75, 4 Pt 2.79-2.83

---

no.,electronic total energy (eV per atom),volume (Å³ per atom),theoretical density (g cm⁻³)
1,-5.2523,22.05,7.803
2,-6.9186,18.23,12.621